[1]
DFT (PBE) results for DyPu2Cr2C4 after structural relaxation.

## Properties
As for the total magnetization: 11.5 μB per cell. The calculation puts the formation energy at -0.011 eV/atom. As for the space group: C2/m.

Unit cell a=3.3971 b=6.8240 c=5.9669 alpha=108.30 beta=90.00 gamma=104.41
With the nearest neighbours (Å) after each atom.
Fractional positions:
Pu 0.1293 0.2587 0.5384  5 C 2.55-2.78
Cr 0.6811 0.3623 0.0031  4 C 1.86-2.01
C 0.2149 0.4297 0.1787  3 Cr 1.97-2.01
C 0.5519 0.1038 0.7568  1 Cr 1.86
Pu 0.8707 0.7413 0.4616  5 C 2.55-2.78
C 0.4481 0.8962 0.2432  1 Cr 1.86
Cr 0.3189 0.6377 0.9969  4 C 1.86-2.01
Dy 0.0000 0.0000 0.0000  6 C 2.47-2.69
C 0.7851 0.5703 0.8213  3 Cr 1.97-2.01

[2]
DFT (PBE) results for NpMnAlSi2 after structural relaxation.

## Properties
As for the total magnetization: 10.2 μB per cell. As for the energy relative to the elements, uncorrected: -0.191 eV per atom. As for the space group: Pmma.

Unit cell a=5.5253 b=5.3008 c=5.5515 alpha=90.00 beta=90.00 gamma=90.00
With the nearest neighbours (Å) after each atom.
Fractional positions:
Np 0.7566 0.7500 0.5000  2 Al 2.88, 8 Si 2.94-3.11
Mn 0.0000 0.0000 0.0000  4 Si 2.41, 2 Al 2.49, 2 Mn 2.65
Si 0.7574 0.2500 0.2699  2 Mn 2.41, 1 Si 2.55, 1 Al 2.56
Al 0.6193 0.7500 0.0000  2 Mn 2.49, 2 Si 2.56
Np 0.2434 0.2500 0.5000  2 Al 2.88, 8 Si 2.94-3.11
Si 0.2426 0.7500 0.7301  2 Mn 2.41, 1 Si 2.55, 1 Al 2.56
Mn 0.0000 0.5000 0.0000  4 Si 2.41, 2 Al 2.49, 2 Mn 2.65
Si 0.7574 0.2500 0.7301  2 Mn 2.41, 1 Si 2.55, 1 Al 2.56
Si 0.2426 0.7500 0.2699  2 Mn 2.41, 1 Si 2.55, 1 Al 2.56
Al 0.3807 0.2500 0.0000  2 Mn 2.49, 2 Si 2.56

[3]
DFT (PBE) results for FeNi7As2Pd2 after structural relaxation.

## Properties
As for the total magnetization: 6.0 μB per cell. The calculation puts the formation energy at 0.004 eV/atom. As for the space group: C2/m.

Unit cell a=3.3934 b=3.3934 c=14.1309 alpha=81.75 beta=81.75 gamma=89.88
With the nearest neighbours (Å) after each atom.
Fractional positions:
Pd 0.6656 0.6656 0.7241  5 Ni 2.61-2.63, 4 As 2.71-2.77
Ni 0.2705 0.2705 0.4636  2 As 2.30-2.55
Ni 0.7295 0.7295 0.5364  2 As 2.30-2.55
Fe 0.0000 0.0000 0.0000  12 Ni 2.40-2.48
Ni 0.5779 0.0779 0.8693  6 Ni 2.40-2.48, 2 Fe 2.48, 2 Pd 2.63
Ni 0.5000 0.5000 0.0000  4 Fe 2.40, 8 Ni 2.48
Pd 0.3344 0.3344 0.2759  5 Ni 2.61-2.63, 4 As 2.71-2.77
Ni 0.4221 0.9221 0.1307  6 Ni 2.40-2.48, 2 Fe 2.48, 2 Pd 2.63
Ni 0.0779 0.5779 0.8693  6 Ni 2.40-2.48, 2 Fe 2.48, 2 Pd 2.63
As 0.7859 0.7859 0.3712  2 Ni 2.30-2.55
As 0.2141 0.2141 0.6288  2 Ni 2.30-2.55
Ni 0.9221 0.4221 0.1307  6 Ni 2.40-2.48, 2 Fe 2.48, 2 Pd 2.63

[4]
DFT (PBE) results for BaSbTeI2 after structural relaxation.

## Properties
As for the total magnetization: 1.7 μB per cell. As for the energy relative to the elements, uncorrected: 0.066 eV per atom. As for the space group: P4/mmm. The distance to the lowest polymorph of the same formula is 0.736 eV per atom.

Unit cell a=6.4346 b=6.4346 c=7.2426 alpha=90.00 beta=90.00 gamma=90.00
With the nearest neighbours (Å) after each atom.
Fractional positions:
I 0.5000 0.0000 0.0000  2 Ba 3.22
Te 0.5000 0.5000 0.5000  4 Sb 4.55, 8 I 4.84
I 0.0000 0.5000 0.0000  2 Ba 3.22
Sb 0.0000 0.0000 0.5000  2 Ba 3.62
Ba 0.0000 0.0000 0.0000  4 I 3.22

[5]
DFT (PBE) results for LiNdSnAu after structural relaxation.

## Properties
As for the total magnetization: 0.0 μB per cell. The calculation puts the formation energy at -0.603 eV/atom. As for the space group: F-43m. The distance to the lowest polymorph of the same formula is 0.000 eV per atom.

Unit cell a=5.1010 b=5.1010 c=5.1010 alpha=60.00 beta=60.00 gamma=60.00
With the nearest neighbours (Å) after each atom.
Fractional positions:
Au 0.2500 0.2500 0.2500  4 Li 3.12, 4 Nd 3.12
Nd 0.0000 0.0000 0.0000  4 Sn 3.12, 4 Au 3.12
Li 0.5000 0.5000 0.5000  4 Au 3.12, 4 Sn 3.12
Sn 0.7500 0.7500 0.7500  4 Nd 3.12, 4 Li 3.12

[6]
DFT (PBE) results for La5Sn3I after structural relaxation.

## Properties
As for the total magnetization: 3.1 μB per cell. As for the energy relative to the elements, uncorrected: -0.872 eV per atom. As for the space group: P6_3/mcm.

Unit cell a=9.7814 b=9.7814 c=7.1091 alpha=90.00 beta=90.00 gamma=120.00
With the nearest neighbours (Å) after each atom.
Fractional positions:
La 0.3333 0.6667 0.5000  6 Sn 3.52, 2 La 3.55
La 0.7227 0.7227 0.2500  2 I 3.24, 3 Sn 3.31-3.36
La 0.6667 0.3333 0.0000  6 Sn 3.52, 2 La 3.55
La 0.0000 0.2773 0.2500  2 I 3.24, 3 Sn 3.31-3.36
Sn 0.0000 0.6157 0.2500  9 La 3.31-3.71
Sn 0.0000 0.3843 0.7500  9 La 3.31-3.71
La 0.2773 0.0000 0.2500  2 I 3.24, 3 Sn 3.31-3.36
La 0.6667 0.3333 0.5000  6 Sn 3.52, 2 La 3.55
La 0.0000 0.7227 0.7500  2 I 3.24, 3 Sn 3.31-3.36
Sn 0.6157 0.0000 0.2500  9 La 3.31-3.71
Sn 0.6157 0.6157 0.7500  9 La 3.31-3.71
Sn 0.3843 0.0000 0.7500  9 La 3.31-3.71
I 0.0000 0.0000 0.5000  6 La 3.24, 2 I 3.55
La 0.3333 0.6667 0.0000  6 Sn 3.52, 2 La 3.55
La 0.2773 0.2773 0.7500  2 I 3.24, 3 Sn 3.31-3.36
I 0.0000 0.0000 0.0000  6 La 3.24, 2 I 3.55
La 0.7227 0.0000 0.7500  2 I 3.24, 3 Sn 3.31-3.36
Sn 0.3843 0.3843 0.2500  9 La 3.31-3.71

[7]
DFT (PBE) results for Tb2Pm3TmSe6 after structural relaxation.

## Properties
As for the total magnetization: 0.0 μB per cell. As for the energy relative to the elements, uncorrected: -1.789 eV per atom. As for the space group: C2/m.

Unit cell a=4.1015 b=8.3423 c=9.2698 alpha=104.02 beta=102.78 gamma=90.00
With the nearest neighbours (Å) after each atom.
Fractional positions:
Se 0.9985 0.7611 0.9970  2 Tm 2.85, 1 Tb 2.91, 3 Pm 2.99-3.00
Se 0.3318 0.4224 0.6637  3 Tb 2.87-2.88, 3 Pm 2.95-2.96
Se 0.3383 0.9130 0.6766  1 Tm 2.83, 2 Tb 2.90, 3 Pm 2.97
Se 0.6617 0.0870 0.3234  1 Tm 2.83, 2 Tb 2.90, 3 Pm 2.97
Se 0.0015 0.2389 0.0030  2 Tm 2.85, 1 Tb 2.91, 3 Pm 2.99-3.00
Se 0.6682 0.5776 0.3363  3 Tb 2.87-2.88, 3 Pm 2.95-2.96
Pm 0.5000 0.5000 0.0000  6 Se 2.95-3.00
Tb 0.8322 0.6650 0.6644  6 Se 2.87-2.91
Tm 0.5000 0.0000 0.0000  6 Se 2.83-2.85
Pm 0.1687 0.8333 0.3374  6 Se 2.96-2.99
Tb 0.1678 0.3350 0.3356  6 Se 2.87-2.91
Pm 0.8313 0.1667 0.6626  6 Se 2.96-2.99

[8]
DFT (PBE) results for LiY2As2 after structural relaxation.

## Properties
As for the total magnetization: 0.0 μB per cell. The calculation puts the formation energy at -0.832 eV/atom. As for the space group: P4/mbm. The distance to the lowest polymorph of the same formula is 0.275 eV per atom.

Unit cell a=7.9814 b=7.9814 c=3.6920 alpha=90.00 beta=90.00 gamma=90.00
With the nearest neighbours (Å) after each atom.
Fractional positions:
As 0.1615 0.6615 0.5000  6 Y 2.86-3.07
Li 0.5000 0.5000 0.0000  4 Y 3.06
As 0.6615 0.8385 0.5000  6 Y 2.86-3.07
Y 0.6451 0.1451 0.0000  6 As 2.86-3.07, 2 Li 3.06
Y 0.3549 0.8549 0.0000  6 As 2.86-3.07, 2 Li 3.06
As 0.8385 0.3385 0.5000  6 Y 2.86-3.07
Y 0.8549 0.6451 0.0000  6 As 2.86-3.07, 2 Li 3.06
As 0.3385 0.1615 0.5000  6 Y 2.86-3.07
Y 0.1451 0.3549 0.0000  6 As 2.86-3.07, 2 Li 3.06
Li 0.0000 0.0000 0.0000  4 Y 3.06

[9]
DFT (PBE) results for CsKTl2In after structural relaxation.

## Properties
As for the total magnetization: 0.0 μB per cell. The calculation puts the formation energy at 0.063 eV/atom. As for the space group: P4/mmm.

Unit cell a=6.1367 b=6.1367 c=6.5712 alpha=90.00 beta=90.00 gamma=90.00
With the nearest neighbours (Å) after each atom.
Fractional positions:
Tl 0.0000 0.5000 0.0000  2 In 3.07
K 0.0000 0.0000 0.5000  2 In 3.29
In 0.0000 0.0000 0.0000  4 Tl 3.07, 2 K 3.29
Tl 0.5000 0.0000 0.0000  2 In 3.07
Cs 0.5000 0.5000 0.5000  4 K 4.34, 8 Tl 4.50

[10]
DFT (PBE) results for FeTeIr2 after structural relaxation.

## Properties
As for the total magnetization: 3.5 μB per cell. As for the energy relative to the elements, uncorrected: 0.414 eV per atom. As for the space group: I-4m2.

Unit cell a=4.9072 b=4.9072 c=4.9072 alpha=132.22 beta=132.22 gamma=69.88
With the nearest neighbours (Å) after each atom.
Fractional positions:
Fe 0.7500 0.2500 0.5000  8 Ir 2.81-2.83, 4 Te 2.83
Ir 0.0000 0.0000 0.0000  4 Te 2.81, 4 Fe 2.83, 4 Ir 2.83
Te 0.5000 0.5000 0.0000  8 Ir 2.81-2.83, 4 Fe 2.83
Ir 0.2500 0.7500 0.5000  4 Fe 2.81, 4 Te 2.83, 4 Ir 2.83

[11]
DFT (PBE) results for Sr2NiIr after structural relaxation.

## Properties
As for the total magnetization: 0.2 μB per cell. The calculation puts the formation energy at -0.157 eV/atom. As for the space group: Amm2.

Unit cell a=4.3745 b=4.6414 c=5.7789 alpha=66.30 beta=90.00 gamma=90.00
With the nearest neighbours (Å) after each atom.
Fractional positions:
Ni 0.5000 0.5846 0.7054  2 Ir 2.35
Sr 0.5000 0.2687 0.3376  3 Ni 3.03-3.35, 4 Ir 3.37
Ir 0.0000 0.6669 0.5416  2 Ni 2.35
Sr 0.0000 0.9798 0.9153  3 Ir 3.05-3.31, 4 Ni 3.38

[12]
DFT (PBE) results for K2AlRh after structural relaxation.

## Properties
As for the total magnetization: 0.0 μB per cell. The calculation puts the formation energy at 0.136 eV/atom. As for the space group: Imm2.

Unit cell a=6.3806 b=6.3806 c=6.3806 alpha=143.09 beta=126.03 gamma=67.18
With the nearest neighbours (Å) after each atom.
Fractional positions:
K 0.7200 0.2200 0.5000  4 K 3.57-3.81, 4 Rh 3.66-3.68, 4 Al 3.70
K 0.0240 0.0240 0.0000  4 K 3.57-3.81, 4 Al 3.60-3.76, 4 Rh 3.66
Rh 0.4333 0.4333 0.0000  2 Al 2.34
Al 0.3227 0.8227 0.5000  2 Rh 2.34